Record 1
DFT (PBE) results for an optimized crystal structure of Ni2IrOs.

Lattice parameters (Å, degrees): 4.1480 4.1480 4.1480 60.00 60.00 60.00
Positions (direct):
Ir1 0.5000 0.5000 0.5000
Ni1 0.2500 0.2500 0.2500
Os1 0.0000 0.0000 0.0000
Ni2 0.7500 0.7500 0.7500

E above lowest polymorph	76.6	kJ/mol of formula units
total magnetization	0.000	μB per atom

=====

Record 2
DFT (PBE) results for an optimized crystal structure of Er2CoSi.

Lattice parameters (Å, degrees): 3.3335 3.3335 9.3303 79.71 79.71 60.00
Each line ends with the local moment (μB).
Positions (direct):
Er1 0.0893 0.0893 0.7320  -0.12
Er2 0.9107 0.9107 0.2680  -0.12
Co1 0.0000 0.0000 0.0000  1.10
Si1 0.5000 0.5000 0.5000  0.00

formation energy without anion corrections	0.347	eV/atom
E above lowest polymorph	347.9	kJ/mol of formula units
total magnetization	0.206	μB per atom

=====

Record 3
DFT (PBE) results for an optimized crystal structure of Nd3SmBi3.

Lattice parameters (Å, degrees): 9.6695 9.6695 9.6695 90.00 90.00 90.00
Positions (direct):
Bi1 0.2522 0.8736 0.0006
Bi2 0.3736 0.4994 0.7478
Nd1 0.1785 0.1785 0.1785
Nd2 0.5698 0.0698 0.4302
Nd3 0.3215 0.8215 0.6785
Sm1 0.5718 0.9282 0.0718
Nd4 0.6779 0.6779 0.6779
Bi3 0.1264 0.5006 0.2478
Bi4 0.8736 0.0006 0.2522
Bi5 0.7478 0.3736 0.4994
Bi6 0.0006 0.2522 0.8736
Nd5 0.8221 0.3221 0.1779
Nd6 0.9302 0.9302 0.9302
Nd7 0.1779 0.8221 0.3221
Bi7 0.4994 0.7478 0.3736
Bi8 0.7522 0.6264 0.9994
Bi9 0.6264 0.9994 0.7522
Sm2 0.0718 0.5718 0.9282
Nd8 0.4302 0.5698 0.0698
Nd9 0.6785 0.3215 0.8215
Nd10 0.8215 0.6785 0.3215
Nd11 0.0698 0.4302 0.5698
Bi10 0.5006 0.2478 0.1264
Bi11 0.9994 0.7522 0.6264
Sm3 0.4282 0.4282 0.4282
Nd12 0.3221 0.1779 0.8221
Bi12 0.2478 0.1264 0.5006
Sm4 0.9282 0.0718 0.5718

E above lowest polymorph	0.0	kJ/mol of formula units
total magnetization	0.000	μB per atom

=====

Record 4
DFT (PBE) results for an optimized crystal structure of InCuTc.

Lattice parameters (Å, degrees): 4.4480 4.4480 2.7996 90.00 90.00 120.00
Each line ends with the local moment (μB).
Positions (direct):
In1 0.6667 0.3333 0.1735  -0.01
Tc1 0.3333 0.6667 0.6697  0.24
Cu1 0.0000 0.0000 0.1568  0.02

E above lowest polymorph	5.8	kJ/mol of formula units
total magnetization	0.091	μB per atom

=====

Record 5
DFT (PBE) results for an optimized crystal structure of TbNd3Ru2.

Lattice parameters (Å, degrees): 4.3259 8.5157 10.6148 68.96 78.24 75.29
Positions (direct):
Nd1 0.0526 0.1171 0.7778
Ru1 0.6164 0.1856 0.5815
Ru2 0.3836 0.8144 0.4185
Tb1 0.4276 0.4805 0.6644
Nd2 0.3336 0.3078 0.0250
Nd3 0.6664 0.6922 0.9750
Nd4 0.9474 0.8829 0.2222
Ru3 0.1384 0.5619 0.1614
Nd5 0.2127 0.1718 0.4027
Nd6 0.7873 0.8282 0.5973
Ru4 0.8616 0.4381 0.8386
Tb2 0.5724 0.5195 0.3356

total magnetization	0.000	μB per atom

=====

Record 6
DFT (PBE) results for an optimized crystal structure of Ga2CuPt9.

Lattice parameters (Å, degrees): 3.9325 3.9325 11.8083 90.00 90.00 90.00
Positions (direct):
Cu1 0.0000 0.0000 0.0000
Pt1 0.5000 0.0000 0.8350
Pt2 0.5000 0.5000 0.6667
Pt3 0.5000 0.0000 0.1650
Ga1 0.0000 0.0000 0.6702
Ga2 0.0000 0.0000 0.3298
Pt4 0.0000 0.5000 0.1650
Pt5 0.5000 0.5000 0.0000
Pt6 0.5000 0.5000 0.3333
Pt7 0.5000 0.0000 0.5000
Pt8 0.0000 0.5000 0.5000
Pt9 0.0000 0.5000 0.8350

total magnetization	0.000	μB per atom

=====

Record 7
DFT (PBE) results for an optimized crystal structure of SrPSe3.

Lattice parameters (Å, degrees): 7.9097 7.1217 12.0125 55.50 90.00 90.00
Positions (direct):
Se1 0.8005 0.2243 0.4584
Se2 0.3005 0.7757 0.0416
Sr1 0.3904 0.2838 0.7512
Sr2 0.6096 0.7162 0.2488
Se3 0.5014 0.8677 0.7344
P1 0.6058 0.3781 0.0637
Se4 0.1978 0.3937 0.9443
Se5 0.0014 0.1323 0.7656
Se6 0.8022 0.6063 0.0557
Se7 0.1995 0.7757 0.5416
Sr3 0.8904 0.7162 0.7488
P2 0.8942 0.3781 0.5637
Se8 0.4986 0.1323 0.2656
Se9 0.9986 0.8677 0.2344
Se10 0.6995 0.2243 0.9584
Se11 0.3022 0.3937 0.4443
P3 0.3942 0.6219 0.9363
Se12 0.6978 0.6063 0.5557
Sr4 0.1096 0.2838 0.2512
P4 0.1058 0.6219 0.4363

formation energy without anion corrections	-0.964	eV/atom
E above lowest polymorph	0.0	kJ/mol of formula units
total magnetization	0.000	μB per atom

=====

Record 8
DFT (PBE) results for an optimized crystal structure of Sr2CuAsN.

Lattice parameters (Å, degrees): 3.8496 6.9059 8.8891 109.07 90.00 90.00
Positions (direct):
Cu1 0.7500 0.4661 0.2464
Cu2 0.2500 0.5339 0.7536
Sr1 0.7500 0.7924 0.0317
As1 0.2500 0.6901 0.3028
Sr2 0.7500 0.8028 0.6214
N1 0.7500 0.1786 0.1713
Sr3 0.2500 0.2076 0.9683
N2 0.2500 0.8214 0.8287
Sr4 0.2500 0.1972 0.3786
As2 0.7500 0.3099 0.6972

formation energy without anion corrections	-0.680	eV/atom
E above lowest polymorph	0.0	kJ/mol of formula units
total magnetization	0.000	μB per atom

=====

Record 9
DFT (PBE) results for an optimized crystal structure of HoEr2CdRh4.

Lattice parameters (Å, degrees): 4.7427 4.7427 8.1838 73.16 73.16 60.00
Positions (direct):
Rh1 0.1223 0.1223 0.6331
Er1 0.2440 0.2440 0.2681
Cd1 0.5000 0.5000 0.5000
Er2 0.7560 0.7560 0.7319
Rh2 0.6254 0.6254 0.1239
Rh3 0.3746 0.3746 0.8761
Rh4 0.8777 0.8777 0.3669
Ho1 0.0000 0.0000 0.0000

total magnetization	0.000	μB per atom

=====

Record 10
DFT (PBE) results for an optimized crystal structure of Pm2Tl3Pb.

Lattice parameters (Å, degrees): 3.3944 5.9383 9.9592 107.35 99.81 90.00
Positions (direct):
Tl1 0.1754 0.1754 0.3508
Tl2 0.8246 0.8246 0.6492
Pb1 0.0000 0.0000 0.0000
Pm1 0.6542 0.6542 0.3085
Tl3 0.0000 0.5000 0.0000
Pm2 0.3458 0.3458 0.6915

total magnetization	0.000	μB per atom

=====

Record 11
DFT (PBE) results for an optimized crystal structure of TbYHoIn.

Lattice parameters (Å, degrees): 5.4535 5.4535 5.4535 60.00 60.00 60.00
Each line ends with the local moment (μB).
Positions (direct):
Ho1 0.2500 0.2500 0.2500  0.34
Tb1 0.0000 0.0000 0.0000  0.25
Y1 0.5000 0.5000 0.5000  0.21
In1 0.7500 0.7500 0.7500  0.00

E above lowest polymorph	50.6	kJ/mol of formula units
total magnetization	0.292	μB per atom

=====

Record 12
DFT (PBE) results for an optimized crystal structure of MnReIr.

Lattice parameters (Å, degrees): 2.7090 2.7090 6.5658 90.00 90.00 120.00
Each line ends with the local moment (μB).
Positions (direct):
Ir1 0.0000 0.0000 0.0086  0.02
Re1 0.3333 0.6667 0.6592  -0.20
Mn1 0.6667 0.3333 0.3322  1.99

E above lowest polymorph	26.5	kJ/mol of formula units
total magnetization	0.618	μB per atom

=====

Number 1: final energy -7.6968 eV per atom. Number 2: final energy -5.0670 eV per atom. Number 3: final energy -5.2071 eV per atom. Number 4: final energy -5.3567 eV per atom. Number 5: final energy -6.4067 eV per atom. Number 6: final energy -5.6953 eV per atom. Number 7: final energy -4.4727 eV per atom. Number 8: final energy -4.7672 eV per atom. Number 9: final energy -6.2949 eV per atom. Number 10: final energy -3.4493 eV per atom. Number 11: final energy -4.7407 eV per atom. Number 12: final energy -10.1489 eV per atom.